Model w:
# LiHfI2N, optimized geometry, DFT PBE-GGA
# density of states at the Fermi level	3.997	states/eV/cell
data_LiHfI2N
_chemical_formula_sum 'Li1 Hf1 I2 N1'
_cell_length_a 5.2645
_cell_length_b 5.2645
_cell_length_c 3.6458
_cell_angle_alpha 90.00
_cell_angle_beta 90.00
_cell_angle_gamma 90.00
_symmetry_space_group_name_H-M 'P 4/m m m'
_symmetry_Int_Tables_number 123
_symmetry_space_group_name_Hall '-P 4 2'
loop_
_atom_site_label
_atom_site_type_symbol
_atom_site_fract_x
_atom_site_fract_y
_atom_site_fract_z
_atom_site_occupancy
Li1 Li 0.0000 0.0000 0.0000 1
Hf1 Hf 0.5000 0.5000 0.5000 1
I1 I 0.0000 0.5000 0.0000 1
N1 N 0.0000 0.0000 0.5000 1

Model x:
# LiHfI2N, optimized geometry, DFT PBE-GGA
# density of states at the Fermi level	1.438	states/eV/cell
data_LiHfI2N
_chemical_formula_sum 'Li1 Hf1 I2 N1'
_cell_length_a 5.9275
_cell_length_b 5.9275
_cell_length_c 4.0261
_cell_angle_alpha 90.00
_cell_angle_beta 90.00
_cell_angle_gamma 90.00
_symmetry_space_group_name_H-M 'P 4/m m m'
_symmetry_Int_Tables_number 123
_symmetry_space_group_name_Hall '-P 4 2'
loop_
_atom_site_label
_atom_site_type_symbol
_atom_site_fract_x
_atom_site_fract_y
_atom_site_fract_z
_atom_site_occupancy
Li1 Li 0.0000 0.0000 0.0000 1
Hf1 Hf 0.5000 0.5000 0.5000 1
I1 I 0.0000 0.5000 0.5000 1
N1 N 0.5000 0.5000 0.0000 1

model x is favored, and the nearest alternative lies 118.2 kJ/mol of atoms above it.

Model w:
# LiHfI2O, optimized geometry, DFT PBE-GGA
# density of states at the Fermi level	1.623	states/eV/cell
data_LiHfI2O
_chemical_formula_sum 'Li1 Hf1 I2 O1'
_cell_length_a 5.8801
_cell_length_b 5.8801
_cell_length_c 3.9859
_cell_angle_alpha 90.00
_cell_angle_beta 90.00
_cell_angle_gamma 90.00
_symmetry_space_group_name_H-M 'P 4/m m m'
_symmetry_Int_Tables_number 123
_symmetry_space_group_name_Hall '-P 4 2'
loop_
_atom_site_label
_atom_site_type_symbol
_atom_site_fract_x
_atom_site_fract_y
_atom_site_fract_z
_atom_site_occupancy
Li1 Li 0.0000 0.0000 0.0000 1
Hf1 Hf 0.5000 0.5000 0.5000 1
I1 I 0.0000 0.5000 0.5000 1
O1 O 0.5000 0.5000 0.0000 1

Model x:
# LiHfI2O, optimized geometry, DFT PBE-GGA
# density of states at the Fermi level	3.544	states/eV/cell
data_LiHfI2O
_chemical_formula_sum 'Li1 Hf1 I2 O1'
_cell_length_a 5.3205
_cell_length_b 5.3205
_cell_length_c 3.5744
_cell_angle_alpha 90.00
_cell_angle_beta 90.00
_cell_angle_gamma 90.00
_symmetry_space_group_name_H-M 'P 4/m m m'
_symmetry_Int_Tables_number 123
_symmetry_space_group_name_Hall '-P 4 2'
loop_
_atom_site_label
_atom_site_type_symbol
_atom_site_fract_x
_atom_site_fract_y
_atom_site_fract_z
_atom_site_occupancy
Li1 Li 0.0000 0.0000 0.0000 1
Hf1 Hf 0.5000 0.5000 0.5000 1
I1 I 0.0000 0.5000 0.0000 1
O1 O 0.0000 0.0000 0.5000 1

model w is favored, and the nearest alternative lies 104.6 kJ/mol of atoms above it.

Model w:
# LiHfIO2, optimized geometry, DFT PBE-GGA
# density of states at the Fermi level	3.716	states/eV/cell
data_LiHfIO2
_chemical_formula_sum 'Li1 Hf1 I1 O2'
_cell_length_a 4.0529
_cell_length_b 4.0529
_cell_length_c 4.4073
_cell_angle_alpha 90.00
_cell_angle_beta 90.00
_cell_angle_gamma 90.00
_symmetry_space_group_name_H-M 'P 4/m m m'
_symmetry_Int_Tables_number 123
_symmetry_space_group_name_Hall '-P 4 2'
loop_
_atom_site_label
_atom_site_type_symbol
_atom_site_fract_x
_atom_site_fract_y
_atom_site_fract_z
_atom_site_occupancy
Li1 Li 0.0000 0.0000 0.0000 1
Hf1 Hf 0.5000 0.5000 0.5000 1
I1 I 0.0000 0.0000 0.5000 1
O1 O 0.0000 0.5000 0.0000 1

Model x:
Compound: LiHfIO2
Source: the Alexandria database
Functional: PBE-GGA
Structure: optimized geometry

Geometry as CIF:
```
data_LiHfIO2
_chemical_formula_sum 'Li1 Hf1 I1 O2'
_cell_length_a 4.0537
_cell_length_b 4.0537
_cell_length_c 6.0855
_cell_angle_alpha 90.00
_cell_angle_beta 90.00
_cell_angle_gamma 90.00
_symmetry_space_group_name_H-M 'P 4/m m m'
_symmetry_Int_Tables_number 123
_symmetry_space_group_name_Hall '-P 4 2'
loop_
_atom_site_label
_atom_site_type_symbol
_atom_site_fract_x
_atom_site_fract_y
_atom_site_fract_z
_atom_site_occupancy
Li1 Li 0.0000 0.0000 0.0000 1
Hf1 Hf 0.5000 0.5000 0.5000 1
I1 I 0.5000 0.5000 0.0000 1
O1 O 0.0000 0.5000 0.5000 1
```

model x is favored, and the nearest alternative lies 172.0 kJ/mol of atoms above it.